(1)
A plane-wave DFT calculation with PBE was carried out for a relaxed structure of Pr5NdDy2Sc.

a = 5.427 Å, b = 22.077 Å, c = 10.370 Å
α = 90.00°, β = 90.00°, γ = 90.00°
Space group Cmc2_1 (No. 36)
Unique sites:
Pr 0.000 0.000 0.000 [4 per cell]
Pr 0.000 0.127 0.250 [4 per cell]
Pr 0.000 0.222 0.562 [4 per cell]
Pr 0.000 0.222 0.937 [4 per cell]
Pr 0.000 0.498 0.750 [4 per cell]
Nd 0.000 0.101 0.750 [4 per cell]
Dy 0.000 0.384 0.002 [4 per cell]
Dy 0.000 0.384 0.498 [4 per cell]
Sc 0.000 0.286 0.249 [4 per cell]

Calculated values
E in eV/atom: -4.79
Calculated volume in Å³ per atom: 34.5
ΔE_f in meV per atom: 125.8



(2)
A plane-wave DFT calculation with PBE was carried out for a relaxed structure of Cs2PtBrCl5.

a = 7.604 Å, b = 7.604 Å, c = 10.415 Å
α = 90.00°, β = 90.00°, γ = 90.00°
Space group I4mm (No. 107)
Unique sites:
Cs 0.000 0.500 0.000 [4 per cell]
Pt 0.000 0.000 0.250 [2 per cell]
Br 0.000 0.000 0.010 [2 per cell]
Cl 0.000 0.000 0.477 [2 per cell]
Cl 0.219 0.219 0.250 [8 per cell]

Calculated values
E in eV/atom: -3.30
Formation energy (no corrections) in meV/atom: -1223
Calculated volume in Å³ per atom: 33.5



(3)
A plane-wave DFT calculation with PBE was carried out for a relaxed structure of LaRu3.

a = 2.969 Å, b = 2.969 Å, c = 7.947 Å
α = 90.00°, β = 90.00°, γ = 90.00°
Space group P4/mmm (No. 123)
Unique sites:
La 0.000 0.000 0.000 [1 per cell]
Ru 0.000 0.000 0.500 [1 per cell]
Ru 0.500 0.500 0.297 [2 per cell]

Calculated values
E in eV/atom: -7.90
Calculated volume in Å³ per atom: 17.5
ΔE_f in meV per atom: 289.2



(4)
A plane-wave DFT calculation with PBE was carried out for a relaxed structure of Sr5Ga5Pt2.

a = 16.037 Å, b = 4.492 Å, c = 12.067 Å
α = 90.00°, β = 128.95°, γ = 90.00°
Space group C2/m (No. 12)
Unique sites:
Sr 0.000 0.000 0.000 [2 per cell]
Sr 0.130 0.500 0.829 [4 per cell]
Sr 0.193 0.500 0.576 [4 per cell]
Ga 0.000 0.000 0.500 [2 per cell]
Ga 0.060 0.000 0.317 [4 per cell]
Ga 0.209 0.500 0.167 [4 per cell]
Pt 0.105 0.500 0.261 [4 per cell]

Calculated values
E in eV/atom: -3.52
Calculated volume in Å³ per atom: 28.2
ΔE_f in meV per atom: -555.7



(5)
A plane-wave DFT calculation with PBE was carried out for a relaxed structure of Dy3YSe6.

a = 11.9666 Å, b = 11.9666 Å, c = 14.3174 Å
α = 90.00°, β = 90.00°, γ = 120.00°
Space group R-3 (No. 148, hexagonal axes)
Unique sites:
Dy 0.0527 0.7811 0.2019 [18 per cell]
Y 0.0000 0.0000 0.0000 [3 per cell]
Y 0.0000 0.0000 0.5000 [3 per cell]
Se 0.0184 0.8060 0.3964 [18 per cell]
Se 0.0324 0.8374 0.8745 [18 per cell]

Calculated values
E in eV/atom: -5.96
Formation energy (no corrections) in meV/atom: -1846
Calculated volume in Å³ per atom: 29.6



(6)
A plane-wave DFT calculation with PBE was carried out for a relaxed structure of Ac2PmPr7.

a = 6.934 Å, b = 30.368 Å, c = 3.634 Å
α = 90.00°, β = 90.00°, γ = 90.00°
Space group Cmmm (No. 65)
Unique sites:
Ac 0.000 0.205 0.000 [4 per cell]
Pm 0.000 0.500 0.500 [2 per cell]
Pr 0.000 0.000 0.000 [2 per cell]
Pr 0.000 0.315 0.500 [4 per cell]
Pr 0.244 0.403 0.000 [8 per cell]

Calculated values
E in eV/atom: -4.50
Calculated volume in Å³ per atom: 38.3
ΔE_f in meV per atom: 143.6



(7)
A plane-wave DFT calculation with PBE was carried out for a relaxed structure of Na5B7C3.

a = 5.103 Å, b = 7.584 Å, c = 9.054 Å
α = 93.17°, β = 106.33°, γ = 109.66°
Space group P1 (No. 1)
Unique sites:
Na 0.000 0.000 0.000 [1 per cell]
Na 0.091 0.698 0.490 [1 per cell]
Na 0.197 0.400 0.997 [1 per cell]
Na 0.293 0.099 0.492 [1 per cell]
Na 0.397 0.800 0.999 [1 per cell]
Na 0.494 0.499 0.492 [1 per cell]
Na 0.596 0.202 0.997 [1 per cell]
Na 0.692 0.899 0.487 [1 per cell]
Na 0.797 0.601 0.998 [1 per cell]
Na 0.896 0.300 0.494 [1 per cell]
B 0.006 0.438 0.245 [1 per cell]
B 0.168 0.950 0.745 [1 per cell]
B 0.217 0.861 0.244 [1 per cell]
B 0.278 0.649 0.245 [1 per cell]
B 0.307 0.557 0.745 [1 per cell]
B 0.369 0.341 0.744 [1 per cell]
B 0.415 0.251 0.244 [1 per cell]
B 0.498 0.950 0.745 [1 per cell]
B 0.616 0.758 0.745 [1 per cell]
B 0.632 0.649 0.245 [1 per cell]
B 0.700 0.343 0.744 [1 per cell]
B 0.806 0.141 0.744 [1 per cell]
B 0.814 0.049 0.245 [1 per cell]
B 0.978 0.559 0.745 [1 per cell]
C 0.072 0.244 0.244 [1 per cell]
C 0.110 0.145 0.744 [1 per cell]
C 0.477 0.055 0.244 [1 per cell]
C 0.678 0.447 0.244 [1 per cell]
C 0.881 0.852 0.245 [1 per cell]
C 0.915 0.754 0.745 [1 per cell]

Calculated values
E in eV/atom: -5.25
Calculated volume in Å³ per atom: 10.4
ΔE_f in meV per atom: 148.3



(8)
A plane-wave DFT calculation with PBE was carried out for a relaxed structure of NdScPd4.

a = 4.136 Å, b = 19.645 Å, c = 5.661 Å
α = 90.00°, β = 90.00°, γ = 90.00°
Space group Cmcm (No. 63)
Unique sites:
Nd 0.000 0.221 0.250 [4 per cell]
Sc 0.000 0.073 0.750 [4 per cell]
Pd 0.000 0.070 0.250 [4 per cell]
Pd 0.000 0.357 0.000 [8 per cell]
Pd 0.000 0.500 0.000 [4 per cell]

Calculated values
E in eV/atom: -6.12
Calculated volume in Å³ per atom: 19.2
ΔE_f in meV per atom: -808.1